Entry 1:
A plane-wave DFT calculation with meta-GGA SCAN was carried out for NiRu3F at its PBEsol-relaxed geometry.

Results
The theoretical density comes out at 9.65 g/cm³. As for the density of states at the Fermi level: 1.303 states/eV per atom. As for the magnetization: 4.68 Bohr magnetons per cell. The calculation puts the uncorrected formation energy at 1153 meV per atom.

a b c (Å): 4.0316 4.0316 4.0316
angles (deg): 90.00 90.00 90.00
Space group Pm-3m (No. 221)
One atom of each set of equivalent atoms:
Ni 0.0000 0.0000 0.0000
Ru 0.0000 0.5000 0.5000
F 0.5000 0.5000 0.5000


Entry 2:
A plane-wave DFT calculation with meta-GGA SCAN was carried out for NiRuF2 at its PBEsol-relaxed geometry.

Results
The theoretical density comes out at 7.70 g/cm³. As for the density of states at the Fermi level: 0.450 states/eV per atom. As for the magnetization: 0.42 Bohr magnetons per cell. The calculation puts the uncorrected formation energy at -782 meV per atom.

a b c (Å): 2.5991 2.5991 21.8803
angles (deg): 90.00 90.00 120.00
Space group R-3m (No. 166, hexagonal axes)
One atom of each set of equivalent atoms:
Ni 0.0000 0.0000 0.0000
Ru 0.0000 0.0000 0.5000
F 0.0000 0.0000 0.4088


Entry 3:
A plane-wave DFT calculation with meta-GGA SCAN was carried out for NiSF2 at its PBEsol-relaxed geometry.

Results
The theoretical density comes out at 4.01 g/cm³. The energy above the most stable polymorph in this dataset is 0.340 eV per atom. As for the density of states at the Fermi level: 0.300 states/eV per atom. As for the magnetization: 14.33 Bohr magnetons per cell. The calculation puts the uncorrected formation energy at -869 meV per atom.

a b c (Å): 6.9591 6.9591 4.3992
angles (deg): 90.00 90.00 90.00
Space group I-42d (No. 122)
One atom of each set of equivalent atoms:
Ni 0.0000 0.0000 0.0000
S 0.0000 0.0000 0.5000
F 0.1142 0.7500 0.1250


Entry 4:
A plane-wave DFT calculation with meta-GGA SCAN was carried out for NiSF2 at its PBEsol-relaxed geometry.

Results
The theoretical density comes out at 3.55 g/cm³. The energy above the most stable polymorph in this dataset is 0.000 eV per atom. As for the density of states at the Fermi level: 0.215 states/eV per atom. As for the magnetization: 6.99 Bohr magnetons per cell. The calculation puts the uncorrected formation energy at -1208 meV per atom.

a b c (Å): 2.8124 2.8124 26.3492
angles (deg): 90.00 90.00 120.00
Space group R-3m (No. 166, hexagonal axes)
One atom of each set of equivalent atoms:
Ni 0.0000 0.0000 0.0000
S 0.0000 0.0000 0.5000
F 0.0000 0.0000 0.3758


Entry 5:
A plane-wave DFT calculation with meta-GGA SCAN was carried out for NiS3F at its PBEsol-relaxed geometry.

Results
The theoretical density comes out at 3.59 g/cm³. As for the density of states at the Fermi level: 1.364 states/eV per atom. As for the magnetization: 2.99 Bohr magnetons per cell. The calculation puts the uncorrected formation energy at 511 meV per atom.

a b c (Å): 4.3186 4.3186 4.3186
angles (deg): 90.00 90.00 90.00
Space group Pm-3m (No. 221)
One atom of each set of equivalent atoms:
Ni 0.0000 0.0000 0.0000
S 0.0000 0.0000 0.5000
F 0.5000 0.5000 0.5000


Entry 6:
A plane-wave DFT calculation with meta-GGA SCAN was carried out for NiSF2 at its PBEsol-relaxed geometry.

Results
The theoretical density comes out at 4.91 g/cm³. The energy above the most stable polymorph in this dataset is 1.127 eV per atom. As for the density of states at the Fermi level: 0.356 states/eV per atom. As for the magnetization: 0.30 Bohr magnetons per cell. The calculation puts the uncorrected formation energy at -82 meV per atom.

a b c (Å): 5.5862 5.5862 5.5862
angles (deg): 90.00 90.00 90.00
Space group Fm-3m (No. 225)
One atom of each set of equivalent atoms:
Ni 0.0000 0.0000 0.0000
S 0.0000 0.0000 0.5000
F 0.2500 0.2500 0.2500


Entry 7:
A plane-wave DFT calculation with meta-GGA SCAN was carried out for Ni3SbF at its PBEsol-relaxed geometry.

Results
The theoretical density comes out at 5.31 g/cm³. As for the density of states at the Fermi level: 0.881 states/eV per atom. As for the magnetization: 3.96 Bohr magnetons per cell. The calculation puts the uncorrected formation energy at 762 meV per atom.

a b c (Å): 4.6272 4.6272 4.6272
angles (deg): 90.00 90.00 90.00
Space group Pm-3m (No. 221)
One atom of each set of equivalent atoms:
Ni 0.0000 0.0000 0.5000
Sb 0.0000 0.0000 0.0000
F 0.5000 0.5000 0.5000


Entry 8:
A plane-wave DFT calculation with meta-GGA SCAN was carried out for NiSeF2 at its PBEsol-relaxed geometry.

Results
The theoretical density comes out at 6.23 g/cm³. As for the density of states at the Fermi level: 0.937 states/eV per atom. As for the magnetization: 0.00 Bohr magnetons per cell. The calculation puts the uncorrected formation energy at -95 meV per atom.

a b c (Å): 5.7214 5.7214 5.7214
angles (deg): 90.00 90.00 90.00
Space group Fm-3m (No. 225)
One atom of each set of equivalent atoms:
Ni 0.0000 0.0000 0.0000
Se 0.0000 0.0000 0.5000
F 0.2500 0.2500 0.2500